First-principles (PBE) data for a relaxed Np2GaPt3 crystal, as listed in Alexandria via LeMat-Bulk.

Cell lengths 5.5881, 5.5881, 8.2372 Å; angles 90.00, 90.00, 120.00 degrees
Space group P6_3/mmc (No. 194)
Unique sites:
Np 0.3333 0.6667 0.0769
Ga 0.0000 0.0000 0.0000
Pt 0.1703 0.3406 0.7500

ΔH_f (0 K)   -659.8 meV per atom
Raw total energy   -101.98 eV per cell
Mass density   16.83 g cm⁻³